Here is crystalline KAc2Al at its relaxed geometry from Alexandria via LeMat-Bulk. Energies are from GGA-PBE.

Summary:
Crystal system ... trigonal
Energy relative to the elements ... 0.1189 eV per atom
Electronic total energy ... -3.145 eV per atom

Unit cell a=13.1930 b=13.1930 c=13.1930 alpha=17.58 beta=17.58 gamma=17.58
Last column: nearest neighbours and their distance in Å.
Fractional positions:
K  0.0000  0.0000  0.0000  6 K 4.03, 2 Ac 4.22
Ac  0.1083  0.1083  0.1083  3 Al 3.25
Ac  0.8917  0.8917  0.8917  3 Al 3.25
Al  0.5000  0.5000  0.5000  6 Ac 3.25

=====

Here is crystalline NdHo5Ni2 at its relaxed geometry from Alexandria via LeMat-Bulk. Energies are from GGA-PBE.

Summary:
Crystal system ... orthorhombic
Energy relative to the elements ... -0.1488 eV per atom
Electronic total energy ... -5.051 eV per atom

Unit cell a=6.7244 b=6.7244 c=18.2376 alpha=90.00 beta=90.00 gamma=148.62
Last column: nearest neighbours and their distance in Å.
Fractional positions:
Nd  0.1743  0.8257  0.7500  4 Ni 3.13, 2 Ho 3.47
Nd  0.8257  0.1743  0.2500  4 Ni 3.13, 2 Ho 3.47
Ho  0.0970  0.9030  0.2500  2 Ni 2.68
Ho  0.1684  0.8316  0.5554  2 Ni 2.71
Ho  0.1684  0.8316  0.9446  2 Ni 2.71
Ho  0.4364  0.5636  0.5919  2 Ni 2.82
Ho  0.4364  0.5636  0.9081  2 Ni 2.82
Ho  0.5636  0.4364  0.0919  2 Ni 2.82
Ho  0.5636  0.4364  0.4081  2 Ni 2.82
Ho  0.8316  0.1684  0.0554  2 Ni 2.71
Ho  0.8316  0.1684  0.4446  2 Ni 2.71
Ho  0.9030  0.0970  0.7500  2 Ni 2.68
Ni  0.2202  0.7798  0.1322  5 Ho 2.68-2.82
Ni  0.2202  0.7798  0.3678  5 Ho 2.68-2.82
Ni  0.7798  0.2202  0.6322  5 Ho 2.68-2.82
Ni  0.7798  0.2202  0.8678  5 Ho 2.68-2.82

=====

Here is crystalline BeSiAu2 at its relaxed geometry from Alexandria via LeMat-Bulk. Energies are from GGA-PBE.

Summary:
ΔE_f (raw) ... 21 kJ/mol of atoms
Crystal system ... tetragonal
Electronic total energy ... -3.704 eV per atom

Unit cell a=4.2051 b=4.2051 c=3.4360 alpha=90.00 beta=90.00 gamma=90.00
Last column: nearest neighbours and their distance in Å.
Fractional positions:
Be  0.0000  0.0000  0.0000  8 Au 2.72, 4 Si 2.97
Si  0.5000  0.5000  0.0000  8 Au 2.72, 4 Be 2.97
Au  0.0000  0.5000  0.5000  4 Be 2.72, 4 Si 2.72, 4 Au 2.97
Au  0.5000  0.0000  0.5000  4 Be 2.72, 4 Si 2.72, 4 Au 2.97

=====

What did the first record say?
Here is crystalline KAc2Al at its relaxed geometry from Alexandria via LeMat-Bulk. Energies are from GGA-PBE.

Summary:
Crystal system ... trigonal
Energy relative to the elements ... 0.1189 eV per atom
Electronic total energy ... -3.145 eV per atom

Unit cell a=13.1930 b=13.1930 c=13.1930 alpha=17.58 beta=17.58 gamma=17.58
Last column: nearest neighbours and their distance in Å.
Fractional positions:
K  0.0000  0.0000  0.0000  6 K 4.03, 2 Ac 4.22
Ac  0.1083  0.1083  0.1083  3 Al 3.25
Ac  0.8917  0.8917  0.8917  3 Al 3.25
Al  0.5000  0.5000  0.5000  6 Ac 3.25

=====

Q: electronic total energy of number 1 (KAc2Al)?
A: -3.145 eV per atom